LiRuW2 | PBE | relaxed

Output
Volume: 59 Å³/f.u.
Total energy: -8.98 eV/atom
Magnetization: 0.0 μB per cell

```
LiRuW2
1.0
2.7076 0.0000 0.0000
0.0000 4.3204 0.0000
-1.0342 0.0000 5.0285
Li Ru W
1 1 2
direct
0.0000 0.0000 0.0000
0.5000 0.0000 0.5000
0.2325 0.5000 0.7509
0.7675 0.5000 0.2491
```

LaPr3Ho6Tm2 | PBE | relaxed

Output
Volume: 391 Å³/f.u.
Total energy: -4.62 eV/atom
Magnetization: 0.0 μB per cell

```
LaPr3Ho6Tm2
1.0
3.1084 -5.3825 0.0000
3.1084 5.3825 0.0000
-2.0649 0.0000 11.6714
La Pr Ho Tm
1 3 6 2
direct
0.0000 0.0000 0.0000
0.1670 0.8330 0.5000
0.5000 0.5000 0.5000
0.8330 0.1670 0.5000
0.0831 0.4178 0.2472
0.2519 0.2519 0.7525
0.4178 0.0831 0.2472
0.5822 0.9169 0.7528
0.7481 0.7481 0.2475
0.9169 0.5822 0.7528
0.3332 0.6668 0.0000
0.6668 0.3332 0.0000
```

AcCdRhAu2 | PBE | relaxed

Output
Volume: 115 Å³/f.u.
Total energy: -4.31 eV/atom
Magnetization: 0.0 μB per cell

```
AcCdRhAu2
1.0
4.0706 0.0000 0.0000
0.0000 4.2317 0.0000
0.0000 0.0000 13.3664
Ac Cd Rh Au
2 2 2 4
direct
0.0000 0.0000 0.0000
0.5000 0.5000 0.5000
0.0000 0.5000 0.7767
0.5000 0.0000 0.2767
0.0000 0.0000 0.4289
0.5000 0.5000 0.9289
0.0000 0.0000 0.6299
0.0000 0.5000 0.2872
0.5000 0.0000 0.7872
0.5000 0.5000 0.1299
```

Number 1: E_form 0.29 eV per atom. Number 2: E_form 0.02 eV per atom. Number 3: E_form -0.52 eV per atom.